No. 1
Entry from the Alexandria database: a geometry-optimized K2Ce2CuSe6 structure (PBE).

ΔE_f (raw) in eV per atom: -1.20
Total energy in eV per atom: -4.750
Space group: C2/m, No. 12

Geometry as extended XYZ:
```
11
Lattice="-4.156 3.887 4.447 -2.183 -1.735 -6.662 -1.159 -7.321 3.499" Properties=species:S:1:pos:R:3 pbc="T T T"
K -2.502 -0.826 -4.867
K -3.837 2.978 2.652
Ce -4.077 -1.649 2.491
Ce -3.421 -3.520 -1.207
Se -5.663 -3.296 0.663
Se -1.836 -1.872 0.622
Se -5.525 0.420 1.228
Se -1.973 -5.588 0.056
Se -4.857 -1.484 -2.533
Se -2.641 -3.685 3.817
Cu -0.580 -3.660 1.749
```



No. 2
Entry from the Alexandria database: a geometry-optimized Y3Ni6Ge2 structure (PBE).

ΔE_f in meV/atom: -575
Total energy in eV per atom: -6.331
Space group: Im-3m, No. 229

Geometry as extended XYZ:
```
22
Lattice="-3.512 5.469 4.115 -3.669 -6.692 0.969 7.287 -0.705 2.362" Properties=species:S:1:pos:R:3 pbc="T T T"
Y 1.037 -2.119 0.955
Y 1.082 1.365 1.856
Y 2.694 3.399 4.621
Y 2.581 -5.278 2.377
Y -5.123 -0.872 3.628
Y -2.057 -0.350 1.457
Ni -2.365 -1.047 4.167
Ni -1.138 1.184 3.865
Ni 2.472 -0.880 3.279
Ni -3.616 -2.626 2.021
Ni -1.191 -2.882 2.814
Ni 3.624 -2.707 1.896
Ni -3.564 1.403 3.063
Ni 1.245 -3.112 3.581
Ni 1.298 0.954 4.633
Ni -0.006 -4.690 1.435
Ni 0.099 3.405 3.529
Ni 3.677 1.359 2.948
Ge -1.756 2.735 2.058
Ge -1.834 -3.346 0.485
Ge 3.643 -0.353 1.181
Ge 0.053 -0.964 3.723
```